Entry 1:
Compound: Sm2Al5Au3
Source: the Open Quantum Materials Database
Functional: PBE-GGA
Structure: optimized geometry

Cell: 8.6679 8.6679 8.6679 Å, 102.98 91.62 138.35°
Sites, in units of the cell vectors:
Sm  0.8701  0.7389  0.6090
Au  0.2500  0.2500  0.0000
Sm  0.6299  0.2389  0.8688
Al  0.5110  0.7500  0.7610
Au  0.8696  0.3754  0.2450
Sm  0.3701  0.7611  0.1312
Al  0.9890  0.7500  0.2390
Al  0.8873  0.1462  0.0335
Al  0.3873  0.3538  0.7412
Al  0.2500  0.7500  0.5000
Au  0.1304  0.6246  0.7550
Al  0.1127  0.8538  0.9665
Au  0.6304  0.8754  0.5058
Al  0.0110  0.2500  0.7610
Au  0.7500  0.7500  0.0000
Au  0.3696  0.1246  0.4942
Al  0.6127  0.6462  0.2588
Al  0.7500  0.2500  0.5000
Sm  0.1299  0.2611  0.3910
Al  0.4890  0.2500  0.2390

Results
V	20.1	Å³/atom
crystal system	orthorhombic
raw total energy	-4.4872	eV/atom
total moment	0.00	Bohr magnetons per cell

Entry 2:
Compound: Sm3Al2Au4
Source: the Open Quantum Materials Database
Functional: PBE-GGA
Structure: optimized geometry

Cell: 5.9530 5.9530 8.7914 Å, 112.45 112.45 45.35°
Sites, in units of the cell vectors:
Au  0.2842  0.2842  0.9276
Al  0.3426  0.3426  0.6703
Au  0.9131  0.9131  0.5936
Sm  0.6416  0.6416  0.6898
Sm  0.3584  0.3584  0.3102
Au  0.0869  0.0869  0.4064
Sm  0.0000  0.0000  0.0000
Al  0.6574  0.6574  0.3297
Au  0.7158  0.7158  0.0724

Results
V	22.4	Å³/atom
crystal system	monoclinic
raw total energy	-4.6462	eV/atom
total moment	0.01	Bohr magnetons per cell

Entry 3:
Compound: Al2SnAu
Source: the Open Quantum Materials Database
Functional: PBE-GGA
Structure: optimized geometry

Cell: 4.8564 4.8564 4.8564 Å, 60.00 60.00 60.00°
Sites, in units of the cell vectors:
Al  0.0000  0.0000  0.0000
Sn  0.7500  0.7500  0.7500
Au  0.5000  0.5000  0.5000
Al  0.2500  0.2500  0.2500

Results
V	20.2	Å³/atom
crystal system	cubic
raw total energy	-3.5775	eV/atom

Entry 4:
Compound: AlSnAu2
Source: the Open Quantum Materials Database
Functional: PBE-GGA
Structure: optimized geometry

Cell: 3.5540 3.5540 15.0927 Å, 90.00 90.00 120.00°
Sites, in units of the cell vectors:
Sn  0.0000  0.0000  0.5000
Sn  0.0000  0.0000  0.0000
Au  0.6667  0.3333  0.6422
Au  0.6667  0.3333  0.8578
Au  0.3333  0.6667  0.1422
Au  0.3333  0.6667  0.3578
Al  0.3333  0.6667  0.7500
Al  0.6667  0.3333  0.2500

Results
V	20.6	Å³/atom
crystal system	hexagonal
raw total energy	-3.7820	eV/atom